No. 1
Compound: TiTe3Au
Source: the Alexandria database
Functional: meta-GGA SCAN
Structure: PBEsol geometry

The calculation puts the magnetic moment at 1.60 μB/cell. The value obtained for the formation energy from raw total energies is 2.47 eV/f.u. The value obtained for the density of states at the Fermi level is 0.796 states/eV per atom. As for the distance to the lowest polymorph of the same formula: 1.15 eV/f.u. As for the mass density: 6.97 g/cm³. The volume is 150 Å³ per cell. Its total energy is -38.895 eV per atom.

The structure belongs to space group Pm-3m (No. 221); the cell edges are 5.3084, 5.3084 and 5.3084 Å and the angles 90.00°, 90.00° and 90.00°. The asymmetric unit holds Ti at (0.0000, 0.0000, 0.0000), Te at (0.0000, 0.5000, 0.5000) and Au at (0.5000, 0.5000, 0.5000).

---

No. 2
Compound: YTiTe2Au
Source: the Alexandria database
Functional: meta-GGA SCAN
Structure: PBEsol geometry

The calculation puts the magnetic moment at 2.00 μB/cell. The value obtained for the formation energy from raw total energies is 0.05 eV/f.u. The value obtained for the density of states at the Fermi level is 0.087 states/eV per atom. As for the mass density: 5.78 g/cm³. The volume is 169 Å³ per cell. Its total energy is -37.497 eV per atom.

The structure belongs to space group P4/mmm (No. 123); the cell edges are 5.7024, 5.7024 and 5.2044 Å and the angles 90.00°, 90.00° and 90.00°. The asymmetric unit holds Y at (0.0000, 0.0000, 0.0000), Ti at (0.5000, 0.5000, 0.5000), Te at (0.0000, 0.5000, 0.0000) and Au at (0.0000, 0.0000, 0.5000).

---

No. 3
Compound: Tl2TeAu
Source: the Alexandria database
Functional: meta-GGA SCAN
Structure: PBEsol geometry

The calculation puts the magnetic moment at 0.00 μB/cell. The value obtained for the formation energy from raw total energies is 0.18 eV/f.u. The value obtained for the density of states at the Fermi level is 0.453 states/eV per atom. As for the mass density: 11.68 g/cm³. The volume is 417 Å³ per cell. Its total energy is -62.737 eV per atom.

The structure belongs to space group Fm-3m (No. 225); the cell edges are 7.4706, 7.4706 and 7.4706 Å and the angles 90.00°, 90.00° and 90.00°. The asymmetric unit holds Tl at (0.2500, 0.2500, 0.2500), Te at (0.0000, 0.0000, 0.0000) and Au at (0.0000, 0.0000, 0.5000).